[1]
{
  "formula": "Na4BrF2",
  "functional": "PBE",
  "state": "relaxed",
  "space_group": "No. 139",
  "formation_energy_uncorrected_mev_per_atom": -1580,
  "n_ef_per_ev_cell": 1.14,
  "lattice_angstrom": [[-2.6519, 2.6519, 6.6566], [2.6519, -2.6519, 6.6566], [2.6519, 2.6519, -6.6566]],
  "species": ["Na", "Na", "Na", "Na", "Br", "F", "F"],
  "fractional_positions": [[0.0000, 0.5000, 0.5000], [0.2348, 0.2348, 0.0000], [0.5000, 0.0000, 0.5000], [0.7652, 0.7652, 0.0000], [0.0000, 0.0000, 0.0000], [0.3926, 0.3926, 0.0000], [0.6074, 0.6074, 0.0000]]
}

***

[2]
{
  "formula": "NaBrO2F",
  "functional": "PBE",
  "state": "relaxed",
  "space_group": "No. 123",
  "formation_energy_uncorrected_mev_per_atom": -514,
  "n_ef_per_ev_cell": 1.71,
  "lattice_angstrom": [[3.8321, 0.0000, 0.0000], [0.0000, 3.8321, 0.0000], [0.0000, 0.0000, 5.1926]],
  "species": ["Na", "Br", "O", "O", "F"],
  "fractional_positions": [[0.0000, 0.0000, 0.0000], [0.5000, 0.5000, 0.5000], [0.0000, 0.5000, 0.5000], [0.5000, 0.0000, 0.5000], [0.5000, 0.5000, 0.0000]]
}

***

[3]
{
  "formula": "NaBrO2F",
  "functional": "PBE",
  "state": "relaxed",
  "space_group": "No. 123",
  "formation_energy_uncorrected_mev_per_atom": 482,
  "n_ef_per_ev_cell": 8.01,
  "lattice_angstrom": [[4.3166, 0.0000, 0.0000], [0.0000, 4.3166, 0.0000], [0.0000, 0.0000, 3.9955]],
  "species": ["Na", "Br", "O", "O", "F"],
  "fractional_positions": [[0.0000, 0.0000, 0.0000], [0.5000, 0.5000, 0.5000], [0.0000, 0.5000, 0.0000], [0.5000, 0.0000, 0.0000], [0.0000, 0.0000, 0.5000]]
}